one.
VASP calculation (GGA-PBE) on a relaxed TmSbH crystal.

Fermi-level density of states in states/eV/f.u.: 1.28
Spin magnetization in μB per formula unit: 0.00
Density in g cm⁻³: 8.63
Space-group type: Pnma

a = 3.435 Å, b = 6.002 Å, c = 10.891 Å
α = 90.00°, β = 90.00°, γ = 90.00°
Sites, in units of the cell vectors:
Sb1 0.250 0.263 0.064
Sb2 0.750 0.763 0.436
Sb3 0.250 0.237 0.564
Sb4 0.750 0.737 0.936
Tm1 0.750 0.250 0.313
Tm2 0.250 0.750 0.187
Tm3 0.750 0.250 0.813
Tm4 0.250 0.750 0.687
H1 0.750 0.952 0.192
H2 0.250 0.452 0.308
H3 0.750 0.548 0.692
H4 0.250 0.048 0.808

two.
VASP calculation (GGA-PBE) on a relaxed TmSbH crystal.

Fermi-level density of states in states/eV/f.u.: 1.59
Spin magnetization in μB per formula unit: 0.00
Density in g cm⁻³: 8.78
Space-group type: P-6m2

a = 4.658 Å, b = 3.698 Å, c = 3.698 Å
α = 120.00°, β = 90.00°, γ = 90.00°
Sites, in units of the cell vectors:
Sb1 0.667 0.333 0.667
Tm1 0.167 0.667 0.333
H1 0.167 0.000 0.000

three.
VASP calculation (GGA-PBE) on a relaxed TmSbH crystal.

Fermi-level density of states in states/eV/f.u.: 1.17
Spin magnetization in μB per formula unit: 0.00
Density in g cm⁻³: 8.95
Space-group type: P4/nmm

a = 3.930 Å, b = 3.930 Å, c = 7.010 Å
α = 90.00°, β = 90.00°, γ = 90.00°
Sites, in units of the cell vectors:
Tm1 0.814 0.866 0.083
Tm2 0.314 0.367 0.756
Sb1 0.814 0.866 0.559
Sb2 0.314 0.366 0.281
H1 0.814 0.366 0.920
H2 0.314 0.866 0.920

four.
VASP calculation (GGA-PBE) on a relaxed TmSbH crystal.

Fermi-level density of states in states/eV/f.u.: 1.46
Spin magnetization in μB per formula unit: 0.00
Density in g cm⁻³: 8.45
Space-group type: I4mm

a = 3.220 Å, b = 3.220 Å, c = 5.979 Å
α = 105.62°, β = 105.62°, γ = 90.00°
Sites, in units of the cell vectors:
Sb1 0.006 0.006 0.012
Tm1 0.721 0.721 0.442
H1 0.273 0.273 0.546

Stability summary - winner: two; margin: 0.046 eV/atom.

one.
VASP calculation (GGA-PBE) on a relaxed V2SbH crystal.

Fermi-level density of states in states/eV/f.u.: 2.10
Spin magnetization in μB per formula unit: 0.00
Density in g cm⁻³: 6.61
Space-group type: I4_1/amd

a = 4.769 Å, b = 4.769 Å, c = 6.000 Å
α = 66.58°, β = 66.58°, γ = 90.00°
Sites, in units of the cell vectors:
Sb1 0.000 0.000 0.000
Sb2 0.750 0.250 0.500
V1 0.375 0.125 0.250
V2 0.375 0.625 0.250
V3 0.375 0.625 0.750
V4 0.875 0.625 0.750
H1 0.500 0.500 0.000
H2 0.250 0.750 0.500

two.
VASP calculation (GGA-PBE) on a relaxed V2SbH crystal.

Fermi-level density of states in states/eV/f.u.: 4.36
Spin magnetization in μB per formula unit: 2.29
Density in g cm⁻³: 6.35
Space-group type: Fm-3m

a = 4.363 Å, b = 4.363 Å, c = 4.363 Å
α = 60.00°, β = 60.00°, γ = 60.00°
Sites, in units of the cell vectors:
Sb1 0.500 0.500 0.500
V1 0.250 0.250 0.250
V2 0.750 0.750 0.750
H1 0.000 0.000 0.000

three.
VASP calculation (GGA-PBE) on a relaxed V2SbH crystal.

Fermi-level density of states in states/eV/f.u.: 2.20
Spin magnetization in μB per formula unit: 0.00
Density in g cm⁻³: 7.07
Space-group type: R-3m

a = 3.128 Å, b = 3.128 Å, c = 6.483 Å
α = 76.04°, β = 76.04°, γ = 60.00°
Sites, in units of the cell vectors:
Sb1 0.500 0.500 0.500
H1 0.000 0.000 0.000
V1 0.287 0.287 0.140
V2 0.713 0.713 0.860

Stability summary - winner: three; margin: 0.073 eV/atom.

one.
VASP calculation (GGA-PBE) on a relaxed VSb2H2 crystal.

Fermi-level density of states in states/eV/f.u.: 2.51
Spin magnetization in μB per formula unit: 2.89
Density in g cm⁻³: 6.37
Space-group type: I4/mmm

a = 4.829 Å, b = 4.829 Å, c = 4.759 Å
α = 59.51°, β = 59.51°, γ = 90.00°
Sites, in units of the cell vectors:
Sb1 0.750 0.250 0.500
Sb2 0.250 0.750 0.500
V1 0.000 0.000 0.000
H1 0.442 0.442 0.116
H2 0.558 0.558 0.884

two.
VASP calculation (GGA-PBE) on a relaxed VSb2H2 crystal.

Fermi-level density of states in states/eV/f.u.: 2.43
Spin magnetization in μB per formula unit: 1.43
Density in g cm⁻³: 7.02
Space-group type: P4/mbm

a = 6.395 Å, b = 6.395 Å, c = 3.432 Å
α = 90.00°, β = 90.00°, γ = 90.00°
Sites, in units of the cell vectors:
Sb1 0.161 0.661 0.500
Sb2 0.661 0.839 0.500
Sb3 0.839 0.339 0.500
Sb4 0.339 0.161 0.500
V1 0.000 0.000 0.000
V2 0.500 0.500 0.000
H1 0.317 0.817 0.000
H2 0.817 0.683 0.000
H3 0.683 0.183 0.000
H4 0.183 0.317 0.000

Stability summary - winner: one; margin: 0.298 eV/atom.

one.
VASP calculation (GGA-PBE) on a relaxed V3SbH crystal.

Fermi-level density of states in states/eV/f.u.: 3.11
Spin magnetization in μB per formula unit: 0.00
Density in g cm⁻³: 7.37
Space-group type: Pm-3m

a = 3.961 Å, b = 3.961 Å, c = 3.961 Å
α = 90.00°, β = 90.00°, γ = 90.00°
Sites, in units of the cell vectors:
Sb1 0.500 0.500 0.500
H1 0.000 0.000 0.000
V1 0.000 0.500 0.000
V2 0.000 0.000 0.500
V3 0.500 0.000 0.000

two.
VASP calculation (GGA-PBE) on a relaxed V3SbH crystal.

Fermi-level density of states in states/eV/f.u.: 7.00
Spin magnetization in μB per formula unit: 11.00
Density in g cm⁻³: 3.23
Space-group type: Pm-3m

a = 5.212 Å, b = 5.212 Å, c = 5.212 Å
α = 90.00°, β = 90.00°, γ = 90.00°
Sites, in units of the cell vectors:
Sb1 0.000 0.000 0.000
V1 0.000 0.500 0.000
V2 0.000 0.000 0.500
V3 0.500 0.000 0.000
H1 0.500 0.500 0.500

three.
VASP calculation (GGA-PBE) on a relaxed V3SbH crystal.

Fermi-level density of states in states/eV/f.u.: 4.14
Spin magnetization in μB per formula unit: 0.00
Density in g cm⁻³: 7.14
Space-group type: P1

a = 5.082 Å, b = 5.467 Å, c = 5.239 Å
α = 116.30°, β = 100.71°, γ = 84.24°
Sites, in units of the cell vectors:
V1 0.998 0.161 0.314
V2 0.528 0.395 0.310
V3 0.786 0.713 0.789
V4 0.481 0.918 0.328
V5 0.834 0.206 0.768
V6 0.328 0.955 0.791
Sb1 0.980 0.661 0.303
Sb2 0.340 0.450 0.796
H1 0.629 0.032 0.084
H2 0.017 0.997 0.935

Stability summary - winner: one; margin: 0.050 eV/atom.